# 1
# Tb7SmTm12 (PBE, relaxed)
# Total magnetic moment: 0.0 μB/f.u.
# Formation energy: 0.72 eV/atom
data_Tb7SmTm12
_chemical_formula_sum 'Tb14 Sm2 Tm24'
_cell_length_a 11.1296
_cell_length_b 11.1296
_cell_length_c 11.1296
_cell_angle_alpha 90.00
_cell_angle_beta 90.00
_cell_angle_gamma 90.00
_symmetry_space_group_name_H-M 'I m -3 m'
_symmetry_Int_Tables_number 229
_symmetry_space_group_name_Hall '-I 4 2 3'
loop_
_atom_site_label
_atom_site_type_symbol
_atom_site_fract_x
_atom_site_fract_y
_atom_site_fract_z
Tb1 Tb 0.0000 0.0000 0.5000
Tb2 Tb 0.2500 0.2500 0.2500
Sm1 Sm 0.0000 0.0000 0.0000
Tm1 Tm 0.0000 0.2526 0.2526

---

# 2
# Ga3NiPt (PBE, relaxed)
# Total magnetic moment: 0.0 μB/f.u.
# Formation energy: 0.04 eV/atom
data_Ga3NiPt
_chemical_formula_sum 'Ga3 Ni1 Pt1'
_cell_length_a 4.4718
_cell_length_b 4.4718
_cell_length_c 4.4718
_cell_angle_alpha 90.00
_cell_angle_beta 90.00
_cell_angle_gamma 90.00
_symmetry_space_group_name_H-M 'P m -3 m'
_symmetry_Int_Tables_number 221
_symmetry_space_group_name_Hall '-P 4 2 3'
loop_
_atom_site_label
_atom_site_type_symbol
_atom_site_fract_x
_atom_site_fract_y
_atom_site_fract_z
Ga1 Ga 0.0000 0.0000 0.5000
Ni1 Ni 0.0000 0.0000 0.0000
Pt1 Pt 0.5000 0.5000 0.5000

---

# 3
# DyHo5Tl4 (PBE, relaxed)
# Total magnetic moment: 0.1 μB/f.u.
# Formation energy: -0.27 eV/atom
data_DyHo5Tl4
_chemical_formula_sum 'Dy1 Ho5 Tl4'
_cell_length_a 3.6076
_cell_length_b 3.6076
_cell_length_c 21.5665
_cell_angle_alpha 90.00
_cell_angle_beta 90.00
_cell_angle_gamma 90.00
_symmetry_space_group_name_H-M 'P 4/m m m'
_symmetry_Int_Tables_number 123
_symmetry_space_group_name_Hall '-P 4 2'
loop_
_atom_site_label
_atom_site_type_symbol
_atom_site_fract_x
_atom_site_fract_y
_atom_site_fract_z
Dy1 Dy 0.0000 0.0000 0.0000
Ho1 Ho 0.5000 0.5000 0.1134
Ho2 Ho 0.5000 0.5000 0.3059
Ho3 Ho 0.5000 0.5000 0.5000
Tl1 Tl 0.0000 0.0000 0.2098
Tl2 Tl 0.0000 0.0000 0.4033

---

| no. | total energy (eV/cell) |
| --- | --- |
| 1 | -152.706 |
| 2 | -20.691 |
| 3 | -39.617 |